Record 1
VASP calculation (PBE-GGA) on a relaxed structure of Zr4IrPd.

Properties
crystal system = tetragonal
density of states at the Fermi level = 14.6 states/eV/cell
total moment = 0.00 μB/f.u.
energy of formation from the pure elements = -0.56 eV per atom
total energy = -103.27 eV for the cell shown
E above lowest polymorph = 0 meV/atom

Structure (CIF):
```
data_Zr4IrPd
_chemical_formula_sum 'Zr8 Ir2 Pd2'
_space_group_name_H-M_alt 'P 4/m c c'
_space_group_IT_number 124
_space_group_name_Hall '-P 4 2c'
_cell_length_a 6.630
_cell_length_b 6.630
_cell_length_c 5.576
_cell_angle_alpha 90.00
_cell_angle_beta 90.00
_cell_angle_gamma 90.00
loop_
_atom_site_label
_atom_site_fract_x
_atom_site_fract_y
_atom_site_fract_z
_atom_site_occupancy
Zr1 0.157 0.333 0.000 1
Ir1 0.000 0.000 0.250 1
Pd1 0.500 0.500 0.250 1
```

***

Record 2
VASP calculation (PBE-GGA) on a relaxed structure of La3YSb3.

Properties
raw formation energy = -1.102 eV/atom
crystal system = monoclinic
density of states at the Fermi level = 32.7 states/eV/cell
total moment = 0.00 μB/f.u.
total energy = -165.31 eV for the cell shown
E above lowest polymorph = 0 meV/atom

Structure (CIF):
```
data_La3YSb3
_chemical_formula_sum 'La12 Y4 Sb12'
_space_group_name_H-M_alt 'C 1 2 1'
_space_group_IT_number 5
_space_group_name_Hall 'C 2y'
_cell_length_a 13.490
_cell_length_b 9.583
_cell_length_c 9.567
_cell_angle_alpha 90.00
_cell_angle_beta 134.70
_cell_angle_gamma 90.00
loop_
_atom_site_label
_atom_site_fract_x
_atom_site_fract_y
_atom_site_fract_z
_atom_site_occupancy
La1 0.067 0.000 0.389 1
La2 0.176 0.390 0.747 1
La3 0.178 0.243 0.103 1
Y1 0.071 0.638 0.252 1
Sb1 0.000 0.695 0.500 1
Sb2 0.000 0.931 0.000 1
Sb3 0.131 0.323 0.378 1
Sb4 0.239 0.570 0.121 1
```

***

Record 3
VASP calculation (PBE-GGA) on a relaxed structure of Ce4GaCl5.

Properties
raw formation energy = -1.503 eV/atom
crystal system = monoclinic
density of states at the Fermi level = 48.3 states/eV/cell
total moment = 4.27 μB/f.u.
total energy = -102.04 eV for the cell shown
E above lowest polymorph = 46 meV/atom

Structure (CIF):
```
data_Ce4GaCl5
_chemical_formula_sum 'Ce8 Ga2 Cl10'
_space_group_name_H-M_alt 'C 1 2/m 1'
_space_group_IT_number 12
_space_group_name_Hall '-C 2y'
_cell_length_a 18.961
_cell_length_b 4.022
_cell_length_c 7.159
_cell_angle_alpha 90.00
_cell_angle_beta 100.96
_cell_angle_gamma 90.00
loop_
_atom_site_label
_atom_site_fract_x
_atom_site_fract_y
_atom_site_fract_z
_atom_site_occupancy
Ce1 0.064 0.000 0.278 1
Ce2 0.128 0.500 0.811 1
Ga1 0.000 0.500 0.500 1
Cl1 0.000 0.500 0.000 1
Cl2 0.181 0.000 0.591 1
Cl3 0.187 0.000 0.092 1
```

***

Record 4
VASP calculation (PBE-GGA) on a relaxed structure of Ac6Os2Ru.

Properties
crystal system = monoclinic
density of states at the Fermi level = 7.0 states/eV/cell
total moment = 0.00 μB/f.u.
energy of formation from the pure elements = -0.06 eV per atom
total energy = -113.80 eV for the cell shown

Structure (CIF):
```
data_Ac6Os2Ru
_chemical_formula_sum 'Ac12 Os4 Ru2'
_space_group_name_H-M_alt 'C 1 2/m 1'
_space_group_IT_number 12
_space_group_name_Hall '-C 2y'
_cell_length_a 18.120
_cell_length_b 4.402
_cell_length_c 8.236
_cell_angle_alpha 90.00
_cell_angle_beta 97.42
_cell_angle_gamma 90.00
loop_
_atom_site_label
_atom_site_fract_x
_atom_site_fract_y
_atom_site_fract_z
_atom_site_occupancy
Ac1 0.004 0.000 0.241 1
Ac2 0.163 0.500 0.091 1
Ac3 0.169 0.500 0.573 1
Os1 0.166 0.000 0.331 1
Ru1 0.000 0.500 0.000 1
```

***

Record 5
VASP calculation (PBE-GGA) on a relaxed structure of Sr8TlZn2.

Properties
crystal system = monoclinic
density of states at the Fermi level = 25.8 states/eV/cell
total moment = 0.00 μB/f.u.
energy of formation from the pure elements = -0.12 eV per atom
total energy = -39.48 eV for the cell shown
E above lowest polymorph = 0 meV/atom

Structure (CIF):
```
data_Sr8TlZn2
_chemical_formula_sum 'Sr16 Tl2 Zn4'
_space_group_name_H-M_alt 'C 1 2/m 1'
_space_group_IT_number 12
_space_group_name_Hall '-C 2y'
_cell_length_a 20.381
_cell_length_b 5.746
_cell_length_c 8.115
_cell_angle_alpha 90.00
_cell_angle_beta 108.86
_cell_angle_gamma 90.00
loop_
_atom_site_label
_atom_site_fract_x
_atom_site_fract_y
_atom_site_fract_z
_atom_site_occupancy
Sr1 0.035 0.000 0.294 1
Sr2 0.094 0.500 0.957 1
Sr3 0.173 0.500 0.469 1
Sr4 0.201 0.000 0.820 1
Tl1 0.000 0.500 0.500 1
Zn1 0.183 0.000 0.204 1
```

***

Record 6
VASP calculation (PBE-GGA) on a relaxed structure of InSb2Te.

Properties
raw formation energy = 0.191 eV/atom
crystal system = orthorhombic
density of states at the Fermi level = 4.3 states/eV/cell
total moment = 0.00 μB/f.u.
total energy = -26.72 eV for the cell shown
E above lowest polymorph = 277 meV/atom

Structure (CIF):
```
data_InSb2Te
_chemical_formula_sum 'In2 Sb4 Te2'
_space_group_name_H-M_alt 'C m m m'
_space_group_IT_number 65
_space_group_name_Hall '-C 2 2'
_cell_length_a 6.449
_cell_length_b 11.381
_cell_length_c 3.113
_cell_angle_alpha 90.00
_cell_angle_beta 90.00
_cell_angle_gamma 90.00
loop_
_atom_site_label
_atom_site_fract_x
_atom_site_fract_y
_atom_site_fract_z
_atom_site_occupancy
In1 0.000 0.000 0.000 1
Sb1 0.250 0.250 0.500 1
Te1 0.000 0.500 0.000 1
```